No. 1
Computed, not measured: a relaxed structure of Cs4Pu3PdS8 at the PBE-GGA level of DFT.

formation energy (no corrections) = -1251 meV/atom
total magnetization = 0.7545 μB/atom
symmetry = No. 166

a = 9.281 Å, b = 9.281 Å, c = 9.281 Å
α = 52.08°, β = 52.08°, γ = 52.08°
Fractional positions:
Cs1 0.000 0.000 0.000
Cs2 0.000 0.500 0.500
Cs3 0.500 0.000 0.500
Cs4 0.500 0.500 0.000
Pu1 0.000 0.000 0.500
Pu2 0.000 0.500 0.000
Pu3 0.500 0.000 0.000
Pd1 0.500 0.500 0.500
S1 0.223 0.727 0.727
S2 0.227 0.227 0.227
S3 0.273 0.273 0.777
S4 0.273 0.777 0.273
S5 0.727 0.223 0.727
S6 0.727 0.727 0.223
S7 0.773 0.773 0.773
S8 0.777 0.273 0.273

---

No. 2
Computed, not measured: a relaxed structure of LiAlGe at the PBE-GGA level of DFT.

energy relative to the elements = -131 meV per atom
total magnetization = 0.0000 μB/atom
symmetry = No. 5

a = 7.533 Å, b = 7.533 Å, c = 2.993 Å
α = 90.00°, β = 90.00°, γ = 36.82°
Fractional positions:
Li1 0.181 0.181 0.001
Li2 0.819 0.819 0.999
Al1 0.301 0.699 0.000
Al2 0.823 0.177 0.500
Ge1 0.350 0.354 0.498
Ge2 0.646 0.650 0.502

---

No. 3
Computed, not measured: a relaxed structure of TlZn2Os at the PBE-GGA level of DFT.

energy relative to the elements = 545 meV per atom
total magnetization = 0.0000 μB/atom
symmetry = No. 123

a = 4.064 Å, b = 4.064 Å, c = 3.988 Å
α = 90.00°, β = 90.00°, γ = 90.00°
Fractional positions:
Tl1 0.000 0.000 0.000
Zn1 0.000 0.500 0.500
Zn2 0.500 0.000 0.500
Os1 0.500 0.500 0.000

---

No. 4
Computed, not measured: a relaxed structure of BPdN2O at the PBE-GGA level of DFT.

formation energy (no corrections) = 2327 meV/atom
total magnetization = 0.0007 μB/atom
symmetry = No. 123

a = 3.831 Å, b = 3.831 Å, c = 4.165 Å
α = 90.00°, β = 90.00°, γ = 90.00°
Fractional positions:
B1 0.000 0.000 0.000
Pd1 0.500 0.500 0.500
N1 0.000 0.500 0.500
N2 0.500 0.000 0.500
O1 0.500 0.500 0.000

---

No. 5
Computed, not measured: a relaxed structure of K2HPd at the PBE-GGA level of DFT.

total magnetization = 0.1863 μB/atom
symmetry = No. 225
energy = -2.33 eV/atom

a = 5.320 Å, b = 5.320 Å, c = 5.320 Å
α = 60.00°, β = 60.00°, γ = 60.00°
Fractional positions:
K1 0.250 0.250 0.250
K2 0.750 0.750 0.750
H1 0.000 0.000 0.000
Pd1 0.500 0.500 0.500

---

No. 6
Computed, not measured: a relaxed structure of ScAl3Hg at the PBE-GGA level of DFT.

energy relative to the elements = 630 meV per atom
total magnetization = 0.0000 μB/atom
symmetry = No. 221

a = 5.005 Å, b = 5.005 Å, c = 5.005 Å
α = 90.00°, β = 90.00°, γ = 90.00°
Fractional positions:
Sc1 0.000 0.000 0.000
Al1 0.000 0.500 0.500
Al2 0.500 0.000 0.500
Al3 0.500 0.500 0.000
Hg1 0.500 0.500 0.500

---

No. 7
Computed, not measured: a relaxed structure of LaCeAgRu at the PBE-GGA level of DFT.

energy relative to the elements = -154 meV per atom
total magnetization = 0.1894 μB/atom
symmetry = No. 216

a = 5.127 Å, b = 5.127 Å, c = 5.127 Å
α = 60.00°, β = 60.00°, γ = 60.00°
Fractional positions:
La1 0.000 0.000 0.000
Ce1 0.500 0.500 0.500
Ag1 0.250 0.250 0.250
Ru1 0.750 0.750 0.750

---

No. 8
Computed, not measured: a relaxed structure of LaNdY2Ho at the PBE-GGA level of DFT.

energy relative to the elements = 239 meV per atom
total magnetization = 0.0000 μB/atom
symmetry = No. 47

a = 3.640 Å, b = 5.632 Å, c = 8.716 Å
α = 90.00°, β = 90.00°, γ = 90.00°
Fractional positions:
La1 0.000 0.000 0.000
Nd1 0.500 0.000 0.500
Y1 0.000 0.500 0.317
Y2 0.000 0.500 0.683
Ho1 0.500 0.500 0.000

---

No. 9
Computed, not measured: a relaxed structure of BeCl3 at the PBE-GGA level of DFT.

formation energy (no corrections) = -102 meV/atom
total magnetization = 0.0432 μB/atom
symmetry = No. 194

a = 8.055 Å, b = 8.055 Å, c = 5.809 Å
α = 90.00°, β = 90.00°, γ = 120.00°
Fractional positions:
Be1 0.000 0.000 0.000
Be2 0.000 0.000 0.500
Be3 0.333 0.667 0.250
Be4 0.667 0.333 0.750
Cl1 0.000 0.500 0.000
Cl2 0.000 0.500 0.500
Cl3 0.119 0.238 0.750
Cl4 0.119 0.881 0.750
Cl5 0.238 0.119 0.250
Cl6 0.500 0.000 0.000
Cl7 0.500 0.000 0.500
Cl8 0.500 0.500 0.000
Cl9 0.500 0.500 0.500
Cl10 0.762 0.881 0.750
Cl11 0.881 0.119 0.250
Cl12 0.881 0.762 0.250

---

No. 10
Computed, not measured: a relaxed structure of TcTe2F at the PBE-GGA level of DFT.

formation energy (no corrections) = 150 meV/atom
total magnetization = 0.3289 μB/atom
symmetry = No. 166

a = 9.743 Å, b = 9.743 Å, c = 9.743 Å
α = 18.23°, β = 18.23°, γ = 18.23°
Fractional positions:
Tc1 0.000 0.000 0.000
Te1 0.092 0.092 0.092
Te2 0.908 0.908 0.908
F1 0.500 0.500 0.500

---

No. 11
Computed, not measured: a relaxed structure of Rb4AuO2 at the PBE-GGA level of DFT.

formation energy (no corrections) = -684 meV/atom
total magnetization = 0.0769 μB/atom
symmetry = No. 166

a = 8.614 Å, b = 8.614 Å, c = 8.614 Å
α = 37.32°, β = 37.32°, γ = 37.32°
Fractional positions:
Rb1 0.107 0.107 0.107
Rb2 0.299 0.299 0.299
Rb3 0.701 0.701 0.701
Rb4 0.893 0.893 0.893
Au1 0.500 0.500 0.500
O1 0.414 0.414 0.414
O2 0.586 0.586 0.586

---

No. 12
Computed, not measured: a relaxed structure of SrAuI2O at the PBE-GGA level of DFT.

formation energy (no corrections) = -587 meV/atom
total magnetization = 0.0001 μB/atom
symmetry = No. 123

a = 5.901 Å, b = 5.901 Å, c = 4.161 Å
α = 90.00°, β = 90.00°, γ = 90.00°
Fractional positions:
Sr1 0.000 0.000 0.000
Au1 0.500 0.500 0.500
I1 0.000 0.500 0.500
I2 0.500 0.000 0.500
O1 0.500 0.500 0.000

---

No. 13
Computed, not measured: a relaxed structure of CaMgW2 at the PBE-GGA level of DFT.

energy relative to the elements = 797 meV per atom
total magnetization = 0.0000 μB/atom
symmetry = No. 65

a = 5.684 Å, b = 5.684 Å, c = 2.759 Å
α = 90.00°, β = 90.00°, γ = 121.02°
Fractional positions:
Ca1 0.000 0.000 0.000
Mg1 0.500 0.500 0.000
W1 0.000 0.500 0.500
W2 0.500 0.000 0.500

---

No. 14
Computed, not measured: a relaxed structure of CeTm5Ga6 at the PBE-GGA level of DFT.

energy relative to the elements = -550 meV per atom
total magnetization = 0.0710 μB/atom
symmetry = No. 65

a = 7.934 Å, b = 7.934 Å, c = 7.098 Å
α = 90.00°, β = 90.00°, γ = 143.25°
Fractional positions:
Ce1 0.000 0.000 0.000
Tm1 0.000 0.000 0.500
Tm2 0.332 0.668 0.000
Tm3 0.337 0.663 0.500
Tm4 0.663 0.337 0.500
Tm5 0.668 0.332 0.000
Ga1 0.171 0.829 0.257
Ga2 0.171 0.829 0.743
Ga3 0.500 0.500 0.255
Ga4 0.500 0.500 0.745
Ga5 0.829 0.171 0.257
Ga6 0.829 0.171 0.743

---

No. 15
Computed, not measured: a relaxed structure of Pm4YTm6 at the PBE-GGA level of DFT.

energy relative to the elements = 303 meV per atom
total magnetization = 0.0000 μB/atom
symmetry = No. 121

a = 9.682 Å, b = 9.682 Å, c = 9.682 Å
α = 140.15°, β = 140.15°, γ = 57.63°
Fractional positions:
Pm1 0.135 0.135 0.622
Pm2 0.487 0.865 0.000
Pm3 0.513 0.513 0.378
Pm4 0.865 0.487 0.000
Y1 0.500 0.500 0.000
Tm1 0.000 0.500 0.500
Tm2 0.053 0.696 0.000
Tm3 0.304 0.304 0.357
Tm4 0.500 0.000 0.500
Tm5 0.696 0.053 0.000
Tm6 0.947 0.947 0.643

---

No. 16
Computed, not measured: a relaxed structure of KCdIr2 at the PBE-GGA level of DFT.

energy relative to the elements = 323 meV per atom
total magnetization = 0.0000 μB/atom
symmetry = No. 8

a = 4.570 Å, b = 4.570 Å, c = 7.810 Å
α = 95.58°, β = 95.58°, γ = 36.11°
Fractional positions:
K1 0.000 0.000 0.000
Cd1 0.224 0.224 0.646
Ir1 0.496 0.496 0.404
Ir2 0.756 0.756 0.319

---

No. 17
Computed, not measured: a relaxed structure of PmHo2Zn5 at the PBE-GGA level of DFT.

energy relative to the elements = -312 meV per atom
total magnetization = 0.0000 μB/atom
symmetry = No. 139

a = 7.852 Å, b = 7.852 Å, c = 7.852 Å
α = 143.93°, β = 143.93°, γ = 51.93°
Fractional positions:
Pm1 0.000 0.000 0.000
Ho1 0.268 0.268 0.000
Ho2 0.732 0.732 0.000
Zn1 0.119 0.619 0.500
Zn2 0.381 0.881 0.500
Zn3 0.500 0.500 0.000
Zn4 0.619 0.119 0.500
Zn5 0.881 0.381 0.500

---

No. 18
Computed, not measured: a relaxed structure of MnBr2Cl at the PBE-GGA level of DFT.

formation energy (no corrections) = -277 meV/atom
total magnetization = 1.2321 μB/atom
symmetry = No. 99

a = 3.239 Å, b = 3.239 Å, c = 10.748 Å
α = 90.00°, β = 90.00°, γ = 90.00°
Fractional positions:
Mn1 0.000 0.000 0.000
Br1 0.000 0.000 0.512
Br2 0.500 0.500 0.159
Cl1 0.500 0.500 0.864

---

No. 19
Computed, not measured: a relaxed structure of AcNd2Al9 at the PBE-GGA level of DFT.

energy relative to the elements = -381 meV per atom
total magnetization = 0.0000 μB/atom
symmetry = No. 166

a = 9.486 Å, b = 9.486 Å, c = 9.486 Å
α = 35.36°, β = 35.36°, γ = 35.36°
Fractional positions:
Ac1 0.000 0.000 0.000
Nd1 0.141 0.141 0.141
Nd2 0.859 0.859 0.859
Al1 0.075 0.587 0.588
Al2 0.336 0.336 0.336
Al3 0.412 0.413 0.925
Al4 0.412 0.925 0.412
Al5 0.500 0.500 0.500
Al6 0.588 0.075 0.588
Al7 0.588 0.588 0.075
Al8 0.664 0.664 0.664
Al9 0.925 0.413 0.413

---

No. 20
Computed, not measured: a relaxed structure of RbSc2Au at the PBE-GGA level of DFT.

energy relative to the elements = 308 meV per atom
total magnetization = 0.0000 μB/atom
symmetry = No. 225

a = 5.123 Å, b = 5.123 Å, c = 5.123 Å
α = 60.00°, β = 60.00°, γ = 60.00°
Fractional positions:
Rb1 0.000 0.000 0.000
Sc1 0.250 0.250 0.250
Sc2 0.750 0.750 0.750
Au1 0.500 0.500 0.500